1.
First-principles (meta-GGA SCAN) data for a PBEsol-optimized structure of BaCa2P, as listed in the Alexandria database.

Results
As for the energy relative to the elements: -554.5 meV/atom. The value obtained for the density of states at the Fermi level is 3.68 states/eV per cell. The crystal system is tetragonal. Its total energy is -71.49 eV/cell.

Unit cell a=3.691 b=3.691 c=9.726 alpha=90.00 beta=90.00 gamma=90.00
Site moments in Bohr magnetons follow the coordinates.
Element x y z (fractional)
Ba 0.500 0.500 0.500  0.09
Ca 0.000 0.000 0.850  0.01
Ca 0.000 0.000 0.150  0.01
P 0.500 0.500 0.000  0.02


2.
First-principles (meta-GGA SCAN) data for a PBEsol-optimized structure of BaCa2P, as listed in the Alexandria database.

Results
As for the energy relative to the elements: -675.3 meV/atom. The value obtained for the density of states at the Fermi level is 2.54 states/eV per cell. The crystal system is orthorhombic. Its total energy is -71.98 eV/cell.

Unit cell a=4.127 b=6.401 c=6.911 alpha=117.58 beta=90.00 gamma=90.00
Element x y z (fractional)
P 0.500 0.500 0.000
Ca 0.000 0.346 0.692
Ca 0.000 0.654 0.308
Ba 0.500 0.000 0.000


3.
First-principles (meta-GGA SCAN) data for a PBEsol-optimized structure of BaSr2CaP, as listed in the Alexandria database.

Results
As for the energy relative to the elements: -514.7 meV/atom. The value obtained for the density of states at the Fermi level is 4.02 states/eV per cell. The crystal system is tetragonal. Its total energy is -106.74 eV/cell.

Unit cell a=5.952 b=5.952 c=6.310 alpha=90.00 beta=90.00 gamma=90.00
Site moments in Bohr magnetons follow the coordinates.
Element x y z (fractional)
Sr 0.000 0.500 0.000  0.03
Sr 0.500 0.000 0.000  0.03
Ca 0.500 0.500 0.500  0.05
Ba 0.000 0.000 0.500  0.05
P 0.000 0.000 0.000  0.02


4.
First-principles (meta-GGA SCAN) data for a PBEsol-optimized structure of Ba2CaPb2, as listed in the Alexandria database.

Results
As for the energy relative to the elements: -699.2 meV/atom. The value obtained for the density of states at the Fermi level is 8.91 states/eV per cell. The crystal system is tetragonal. Its total energy is -487.64 eV/cell.

Unit cell a=5.218 b=8.627 c=8.627 alpha=90.00 beta=90.00 gamma=90.00
Element x y z (fractional)
Pb 0.000 0.369 0.869
Pb 0.000 0.869 0.631
Pb 0.000 0.631 0.131
Pb 0.000 0.131 0.369
Ca 0.000 0.000 0.000
Ca 0.000 0.500 0.500
Ba 0.500 0.163 0.663
Ba 0.500 0.663 0.837
Ba 0.500 0.837 0.337
Ba 0.500 0.337 0.163


no.,total moment (μB per formula unit)
1,0.6
2,0.2
3,1.1
4,0.2